(1)
## ErPaI (PBE)

Data for a geometry-optimized ErPaI structure.

Summary:
The calculation puts the raw formation energy at -0.311 eV per atom. Its crystal system is orthorhombic. The total energy comes out at -66.17 eV for the cell shown.

Cell lengths 5.337, 19.741, 3.946 Å; angles 90.00, 90.00, 90.00 degrees
Space group Cmcm (No. 63)
Asymmetric unit:
Er  0.000  0.070  0.250
Pa  0.000  0.456  0.250
I  0.000  0.326  0.750

(2)
## ErPaI6 (PBE)

Data for a geometry-optimized ErPaI6 structure.

Summary:
The calculation puts the raw formation energy at -1.049 eV per atom. Its crystal system is monoclinic. The total energy comes out at -63.50 eV for the cell shown.

Cell lengths 7.494, 14.762, 7.497 Å; angles 90.00, 109.59, 90.00 degrees
Space group C2/m (No. 12)
Asymmetric unit:
Er  0.000  0.000  0.000
Pa  0.000  0.500  0.500
I  0.243  0.148  0.243
I  0.248  0.000  0.754

(3)
## ErPaI2 (PBE)

Data for a geometry-optimized ErPaI2 structure.

Summary:
The calculation puts the raw formation energy at -0.257 eV per atom. Its crystal system is trigonal. The total energy comes out at -54.56 eV for the cell shown.

Cell lengths 3.6344, 3.6344, 32.4438 Å; angles 90.00, 90.00, 120.00 degrees
Space group R-3m (No. 166, hexagonal axes)
Asymmetric unit:
Er  0.0000  0.0000  0.0000
Pa  0.0000  0.0000  0.5000
I  0.0000  0.0000  0.4026

(4)
## Er2PbI3 (PBE)

Data for a geometry-optimized Er2PbI3 structure.

Summary:
The calculation puts the raw formation energy at -0.913 eV per atom. Its crystal system is monoclinic. The total energy comes out at -91.85 eV for the cell shown.

Cell lengths 21.448, 4.026, 15.655 Å; angles 90.00, 132.20, 90.00 degrees
Space group C2/m (No. 12)
Asymmetric unit:
Er  0.092  0.000  0.238
Er  0.126  0.500  0.921
Pb  0.081  0.000  0.024
I  0.039  0.500  0.332
I  0.189  0.000  0.843
I  0.233  0.500  0.351

(5)
## Er2PbI (PBE)

Data for a geometry-optimized Er2PbI structure.

Summary:
The calculation puts the raw formation energy at -0.550 eV per atom. As for the distance to the lowest polymorph of the same formula: 0.0 meV per atom. Its crystal system is trigonal. The total energy comes out at -49.76 eV for the cell shown.

Cell lengths 4.5405, 4.5405, 20.8658 Å; angles 90.00, 90.00, 120.00 degrees
Space group R-3m (No. 166, hexagonal axes)
Asymmetric unit:
Er  0.0000  0.0000  0.2395
Pb  0.0000  0.0000  0.5000
I  0.0000  0.0000  0.0000

(6)
## ErPbI5 (PBE)

Data for a geometry-optimized ErPbI5 structure.

Summary:
The calculation puts the raw formation energy at -1.010 eV per atom. Its crystal system is monoclinic. The total energy comes out at -46.18 eV for the cell shown.

Cell lengths 9.292, 4.473, 14.953 Å; angles 90.00, 94.16, 90.00 degrees
Space group P2_1/m (No. 11)
Asymmetric unit:
Er  0.090  0.250  0.149
Pb  0.404  0.750  0.362
I  0.111  0.250  0.798
I  0.140  0.250  0.360
I  0.174  0.750  0.015
I  0.351  0.750  0.573
I  0.415  0.250  0.180

(7)
## Er2PbI (PBE)

Data for a geometry-optimized Er2PbI structure.

Summary:
The calculation puts the raw formation energy at -0.512 eV per atom. As for the distance to the lowest polymorph of the same formula: 38.3 meV per atom. Its crystal system is trigonal. The total energy comes out at -49.30 eV for the cell shown.

Cell lengths 4.3950, 4.3950, 22.7449 Å; angles 90.00, 90.00, 120.00 degrees
Space group R3m (No. 160, hexagonal axes)
Asymmetric unit:
Er  0.0000  0.0000  0.0000
Er  0.0000  0.0000  0.1921
Pb  0.0000  0.0000  0.5984
I  0.0000  0.0000  0.4277

(8)
## ErPbI2 (PBE)

Data for a geometry-optimized ErPbI2 structure.

Summary:
The calculation puts the raw formation energy at -0.278 eV per atom. Its crystal system is trigonal. The total energy comes out at -37.45 eV for the cell shown.

Cell lengths 3.9418, 3.9418, 33.7731 Å; angles 90.00, 90.00, 120.00 degrees
Space group R-3m (No. 166, hexagonal axes)
Asymmetric unit:
Er  0.0000  0.0000  0.0000
Pb  0.0000  0.0000  0.5000
I  0.0000  0.0000  0.0864

(9)
## RbErPb2I8 (PBE)

Data for a geometry-optimized RbErPb2I8 structure.

Summary:
The calculation puts the raw formation energy at -0.984 eV per atom. Its crystal system is triclinic. The total energy comes out at -37.15 eV for the cell shown.

Cell lengths 7.374, 7.811, 9.862 Å; angles 89.96, 89.90, 88.63 degrees
Space group P-1 (No. 2)
Asymmetric unit:
Rb  0.000  0.000  0.000
Er  0.000  0.000  0.500
Pb  0.500  0.500  0.252
I  0.232  0.323  0.500
I  0.247  0.847  0.713
I  0.248  0.848  0.287
I  0.267  0.375  0.000

(10)
## RbErPbI6 (PBE)

Data for a geometry-optimized RbErPbI6 structure.

Summary:
The calculation puts the raw formation energy at -1.174 eV per atom. Its crystal system is trigonal. The total energy comes out at -58.20 eV for the cell shown.

Cell lengths 8.1452, 8.1452, 16.0402 Å; angles 90.00, 90.00, 120.00 degrees
Space group P-31c (No. 163)
Asymmetric unit:
Rb  0.0000  0.0000  0.0000
Er  0.3333  0.6667  0.2500
Pb  0.3333  0.6667  0.7500
I  0.0212  0.3803  0.1387

(11)
## Er7PdI12 (PBE)

Data for a geometry-optimized Er7PdI12 structure.

Summary:
The calculation puts the raw formation energy at -1.178 eV per atom. Its crystal system is trigonal. The total energy comes out at -237.91 eV for the cell shown.

Cell lengths 15.6351, 15.6351, 10.6605 Å; angles 90.00, 90.00, 120.00 degrees
Space group R-3 (No. 148, hexagonal axes)
Asymmetric unit:
Er  0.0000  0.0000  0.0000
Er  0.0437  0.8860  0.3553
Pd  0.0000  0.0000  0.5000
I  0.0186  0.4345  0.1579
I  0.0511  0.8705  0.8401

(12)
## PmErI (PBE)

Data for a geometry-optimized PmErI structure.

Summary:
The calculation puts the raw formation energy at -0.515 eV per atom. As for the distance to the lowest polymorph of the same formula: 0.0 meV per atom. Its crystal system is orthorhombic. The total energy comes out at -49.63 eV for the cell shown.

Cell lengths 3.832, 16.758, 5.993 Å; angles 90.00, 90.00, 90.00 degrees
Space group Cmcm (No. 63)
Asymmetric unit:
Pm  0.000  0.042  0.250
Er  0.000  0.367  0.250
I  0.000  0.295  0.750

(13)
## Pm2ErI8 (PBE)

Data for a geometry-optimized Pm2ErI8 structure.

Summary:
The calculation puts the raw formation energy at -1.222 eV per atom. Its crystal system is monoclinic. The total energy comes out at -79.81 eV for the cell shown.

Cell lengths 19.787, 8.680, 7.267 Å; angles 90.00, 97.29, 90.00 degrees
Space group C2/m (No. 12)
Asymmetric unit:
Pm  0.145  0.000  0.423
Er  0.000  0.000  0.000
I  0.056  0.259  0.258
I  0.137  0.000  0.840
I  0.212  0.500  0.639

(14)
## Pm2ErI (PBE)

Data for a geometry-optimized Pm2ErI structure.

Summary:
The calculation puts the raw formation energy at -0.085 eV per atom. As for the distance to the lowest polymorph of the same formula: 307.6 meV per atom. Its crystal system is trigonal. The total energy comes out at -47.86 eV for the cell shown.

Cell lengths 3.6335, 3.6335, 35.3699 Å; angles 90.00, 90.00, 120.00 degrees
Space group R-3m (No. 166, hexagonal axes)
Asymmetric unit:
Pm  0.0000  0.0000  0.0946
Er  0.0000  0.0000  0.0000
I  0.0000  0.0000  0.5000

(15)
## PmEr2I8 (PBE)

Data for a geometry-optimized PmEr2I8 structure.

Summary:
The calculation puts the raw formation energy at -1.214 eV per atom. Its crystal system is monoclinic. The total energy comes out at -79.27 eV for the cell shown.

Cell lengths 15.157, 11.063, 7.324 Å; angles 90.00, 91.57, 90.00 degrees
Space group C2/m (No. 12)
Asymmetric unit:
Pm  0.000  0.000  0.000
Er  0.180  0.000  0.641
I  0.081  0.208  0.761
I  0.142  0.500  0.249
I  0.179  0.000  0.241

(16)
## PmErI5 (PBE)

Data for a geometry-optimized PmErI5 structure.

Summary:
The calculation puts the raw formation energy at -1.317 eV per atom. Its crystal system is monoclinic. The total energy comes out at -52.56 eV for the cell shown.

Cell lengths 9.339, 4.215, 14.876 Å; angles 90.00, 94.82, 90.00 degrees
Space group P2_1/m (No. 11)
Asymmetric unit:
Pm  0.104  0.250  0.149
Er  0.405  0.750  0.341
I  0.068  0.750  0.307
I  0.137  0.250  0.928
I  0.322  0.250  0.479
I  0.353  0.750  0.130
I  0.378  0.750  0.706

(17)
## PmErI (PBE)

Data for a geometry-optimized PmErI structure.

Summary:
The calculation puts the raw formation energy at -0.172 eV per atom. As for the distance to the lowest polymorph of the same formula: 343.4 meV per atom. Its crystal system is trigonal. The total energy comes out at -11.38 eV for the cell shown.

Cell lengths 5.4247, 5.4247, 3.8246 Å; angles 90.00, 90.00, 120.00 degrees
Space group P3m1 (No. 156)
Asymmetric unit:
Pm  0.0000  0.0000  0.0000
Er  0.3333  0.6667  0.5188
I  0.6667  0.3333  0.6618

(18)
## PmErI4 (PBE)

Data for a geometry-optimized PmErI4 structure.

Summary:
The calculation puts the raw formation energy at -1.220 eV per atom. Its crystal system is monoclinic. The total energy comes out at -22.84 eV for the cell shown.

Cell lengths 7.232, 4.151, 8.304 Å; angles 90.00, 106.10, 90.00 degrees
Space group P2/m (No. 10)
Asymmetric unit:
Pm  0.000  0.000  0.000
Er  0.500  0.500  0.000
I  0.258  0.500  0.252
I  0.264  0.000  0.756

(19)
## PmErI2 (PBE)

Data for a geometry-optimized PmErI2 structure.

Summary:
The calculation puts the raw formation energy at -0.687 eV per atom. Its crystal system is trigonal. The total energy comes out at -45.48 eV for the cell shown.

Cell lengths 3.8823, 3.8823, 32.1382 Å; angles 90.00, 90.00, 120.00 degrees
Space group R-3m (No. 166, hexagonal axes)
Asymmetric unit:
Pm  0.0000  0.0000  0.0000
Er  0.0000  0.0000  0.5000
I  0.0000  0.0000  0.4046

(20)
## Pm2ErI (PBE)

Data for a geometry-optimized Pm2ErI structure.

Summary:
The calculation puts the raw formation energy at -0.333 eV per atom. As for the distance to the lowest polymorph of the same formula: 59.3 meV per atom. Its crystal system is tetragonal. The total energy comes out at -16.95 eV for the cell shown.

Cell lengths 3.681, 3.681, 9.631 Å; angles 90.00, 90.00, 90.00 degrees
Space group P4/mmm (No. 123)
Asymmetric unit:
Pm  0.000  0.000  0.243
Er  0.500  0.500  0.500
I  0.500  0.500  0.000

(21)
## Pm2ErI (PBE)

Data for a geometry-optimized Pm2ErI structure.

Summary:
The calculation puts the raw formation energy at -0.392 eV per atom. As for the distance to the lowest polymorph of the same formula: 0.0 meV per atom. Its crystal system is trigonal. The total energy comes out at -51.55 eV for the cell shown.

Cell lengths 3.7811, 3.7811, 32.0265 Å; angles 90.00, 90.00, 120.00 degrees
Space group R3m (No. 160, hexagonal axes)
Asymmetric unit:
Pm  0.0000  0.0000  0.0000
Pm  0.0000  0.0000  0.1554
Er  0.0000  0.0000  0.5774
I  0.0000  0.0000  0.7446

(22)
## PmErPtI (PBE)

Data for a geometry-optimized PmErPtI structure.

Summary:
The calculation puts the raw formation energy at -1.110 eV per atom. Its crystal system is trigonal. The total energy comes out at -64.03 eV for the cell shown.

Cell lengths 4.1809, 4.1809, 23.9737 Å; angles 90.00, 90.00, 120.00 degrees
Space group R3m (No. 160, hexagonal axes)
Asymmetric unit:
Pm  0.0000  0.0000  0.0000
Er  0.0000  0.0000  0.2111
Pt  0.0000  0.0000  0.6019
I  0.0000  0.0000  0.7749

(23)
## PmErRhI (PBE)

Data for a geometry-optimized PmErRhI structure.

Summary:
The calculation puts the raw formation energy at -0.936 eV per atom. Its crystal system is trigonal. The total energy comes out at -65.87 eV for the cell shown.

Cell lengths 4.0928, 4.0928, 24.0434 Å; angles 90.00, 90.00, 120.00 degrees
Space group R3m (No. 160, hexagonal axes)
Asymmetric unit:
Pm  0.0000  0.0000  0.0000
Er  0.0000  0.0000  0.2119
Rh  0.0000  0.0000  0.6029
I  0.0000  0.0000  0.7748

(24)
## PmErTeI (PBE)

Data for a geometry-optimized PmErTeI structure.

Summary:
The calculation puts the raw formation energy at -0.967 eV per atom. Its crystal system is cubic. The total energy comes out at -71.49 eV for the cell shown.

Cell lengths 7.612, 7.612, 7.612 Å; angles 90.00, 90.00, 90.00 degrees
Space group F-43m (No. 216)
Asymmetric unit:
Pm  0.000  0.000  0.000
Er  0.000  0.000  0.500
Te  0.250  0.250  0.750
I  0.250  0.250  0.250

(25)
## PrErI2 (PBE)

Data for a geometry-optimized PrErI2 structure.

Summary:
The calculation puts the raw formation energy at -0.737 eV per atom. As for the distance to the lowest polymorph of the same formula: 0.0 meV per atom. Its crystal system is trigonal. The total energy comes out at -46.17 eV for the cell shown.

Cell lengths 3.8226, 3.8226, 29.5301 Å; angles 90.00, 90.00, 120.00 degrees
Space group R3m (No. 160, hexagonal axes)
Asymmetric unit:
Pr  0.0000  0.0000  0.0000
Er  0.0000  0.0000  0.1629
I  0.0000  0.0000  0.5796
I  0.0000  0.0000  0.7499

| no. | total magnetization (μB/f.u.) |
| --- | --- |
| 1 | 0.00 |
| 2 | 2.01 |
| 3 | 0.85 |
| 4 | 0.00 |
| 5 | 0.00 |
| 6 | 0.00 |
| 7 | 0.00 |
| 8 | 0.00 |
| 9 | 0.00 |
| 10 | 0.00 |
| 11 | 0.58 |
| 12 | 0.00 |
| 13 | 1.00 |
| 14 | 0.42 |
| 15 | 1.01 |
| 16 | 0.94 |
| 17 | 0.00 |
| 18 | 0.00 |
| 19 | 0.00 |
| 20 | 0.00 |
| 21 | 0.37 |
| 22 | 0.00 |
| 23 | 0.00 |
| 24 | 0.00 |
| 25 | 0.00 |